Entry from the Alexandria database: LiMn4P3O12 after structural relaxation (GGA+U).

Results
VASP energy   -7.496 eV/atom
Crystal system   monoclinic
Total moment   20.0 μB per formula unit

a b c (Å): 11.971 13.358 6.658
angles (deg): 90.00 117.41 90.00
Space group Cc (No. 9)
Inequivalent atoms, fractional coordinates:
1 Li 0.000 0.022 0.000
2 Mn 0.012 0.492 0.771
3 Mn 0.039 0.271 0.985
4 Mn 0.237 0.149 0.828
5 Mn 0.322 0.346 0.605
6 P 0.033 0.309 0.473
7 P 0.256 0.108 0.335
8 P 0.312 0.392 0.103
9 O 0.078 0.246 0.689
10 O 0.130 0.382 0.458
11 O 0.168 0.406 0.039
12 O 0.183 0.007 0.290
13 O 0.197 0.167 0.109
14 O 0.246 0.171 0.519
15 O 0.325 0.328 0.926
16 O 0.381 0.495 0.136
17 O 0.383 0.342 0.343
18 O 0.402 0.089 0.411
19 O 0.434 0.114 0.978
20 O 0.487 0.257 0.759

=====

Entry from the Alexandria database: LiMn2P2O8 after structural relaxation (GGA+U).

Results
VASP energy   -7.239 eV/atom
Crystal system   monoclinic
Total moment   9.0 μB per formula unit

a b c (Å): 8.355 5.056 10.153
angles (deg): 90.00 123.20 90.00
Space group Pc (No. 7)
Inequivalent atoms, fractional coordinates:
1 Li 0.000 0.046 0.000
2 Mn 0.028 0.404 0.732
3 Mn 0.501 0.033 0.287
4 P 0.259 0.467 0.621
5 P 0.772 0.075 0.149
6 O 0.095 0.367 0.118
7 O 0.222 0.186 0.672
8 O 0.225 0.468 0.458
9 O 0.455 0.436 0.253
10 O 0.583 0.004 0.129
11 O 0.767 0.005 0.499
12 O 0.815 0.374 0.189
13 O 0.946 0.086 0.789

=====

Entry from the Alexandria database: LiMnPO2 after structural relaxation (GGA+U).

Results
VASP energy   -5.350 eV/atom
Crystal system   tetragonal
Total moment   1.4 μB per formula unit

a b c (Å): 3.738 3.738 4.999
angles (deg): 90.00 90.00 90.00
Space group P4/mmm (No. 123)
Inequivalent atoms, fractional coordinates:
1 Li 0.000 0.000 0.000
2 Mn 0.500 0.500 0.500
3 P 0.500 0.500 0.000
4 O 0.000 0.500 0.500

=====

Entry from the Alexandria database: Li2MnP2O8 after structural relaxation (GGA+U).

Results
VASP energy   -6.759 eV/atom
Crystal system   triclinic
Total moment   3.0 μB per formula unit

a b c (Å): 4.795 4.925 7.206
angles (deg): 88.79 77.11 64.46
Space group P-1 (No. 2)
Inequivalent atoms, fractional coordinates:
1 Li 0.219 0.285 0.355
2 Mn 0.000 0.000 0.000
3 P 0.387 0.360 0.773
4 O 0.208 0.263 0.958
5 O 0.228 0.382 0.611
6 O 0.267 0.882 0.258
7 O 0.367 0.674 0.832

=====

Entry from the Alexandria database: LiMn2P2O8 after structural relaxation (GGA+U).

Results
VASP energy   -7.246 eV/atom
Crystal system   triclinic
Total moment   9.0 μB per formula unit

a b c (Å): 4.927 8.121 8.675
angles (deg): 105.62 91.16 92.97
Space group P1 (No. 1)
Inequivalent atoms, fractional coordinates:
1 Li 0.000 0.000 0.000
2 Li 0.088 0.473 0.613
3 Mn 0.053 0.062 0.380
4 Mn 0.219 0.579 0.312
5 Mn 0.604 0.132 0.741
6 Mn 0.652 0.614 0.840
7 P 0.056 0.852 0.646
8 P 0.105 0.365 0.931
9 P 0.465 0.888 0.177
10 P 0.544 0.341 0.471
11 O 0.057 0.671 0.518
12 O 0.073 0.486 0.103
13 O 0.273 0.037 0.182
14 O 0.344 0.921 0.702
15 O 0.354 0.808 0.310
16 O 0.383 0.181 0.506
17 O 0.407 0.343 0.892
18 O 0.417 0.382 0.321
19 O 0.442 0.764 0.011
20 O 0.498 0.495 0.614
21 O 0.766 0.954 0.216
22 O 0.845 0.300 0.452
23 O 0.888 0.826 0.786
24 O 0.908 0.980 0.566
25 O 0.943 0.193 0.914
26 O 0.972 0.455 0.814

=====

Entry from the Alexandria database: LiMnP4O12 after structural relaxation (GGA+U).

Results
VASP energy   -7.111 eV/atom
Crystal system   monoclinic
Total moment   4.0 μB per formula unit

a b c (Å): 5.302 13.471 7.323
angles (deg): 90.00 101.57 90.00
Space group P2_1 (No. 4)
Inequivalent atoms, fractional coordinates:
1 Li 0.152 0.000 0.114
2 Mn 0.019 0.676 0.589
3 P 0.293 0.786 0.962
4 P 0.351 0.141 0.813
5 P 0.494 0.037 0.495
6 P 0.494 0.323 0.376
7 O 0.103 0.166 0.677
8 O 0.145 0.866 0.032
9 O 0.155 0.697 0.856
10 O 0.223 0.306 0.395
11 O 0.253 0.081 0.368
12 O 0.264 0.538 0.579
13 O 0.308 0.749 0.531
14 O 0.329 0.083 0.980
15 O 0.401 0.927 0.532
16 O 0.457 0.586 0.302
17 O 0.484 0.836 0.838
18 O 0.499 0.744 0.136

=====

Entry from the Alexandria database: Li2Mn3P3O12 after structural relaxation (GGA+U).

Results
VASP energy   -7.055 eV/atom
Crystal system   monoclinic
Total moment   9.9 μB per formula unit

a b c (Å): 14.807 8.884 8.444
angles (deg): 90.00 121.43 90.00
Space group C2 (No. 5)
Inequivalent atoms, fractional coordinates:
1 Li 0.000 0.000 0.000
2 Li 0.000 0.300 0.500
3 Li 0.180 0.667 0.901
4 Mn 0.094 0.377 0.899
5 Mn 0.102 0.888 0.395
6 Mn 0.249 0.384 0.745
7 P 0.000 0.602 0.500
8 P 0.000 0.696 0.000
9 P 0.148 0.029 0.811
10 P 0.149 0.233 0.327
11 O 0.044 0.701 0.406
12 O 0.045 0.000 0.808
13 O 0.046 0.278 0.319
14 O 0.064 0.601 0.942
15 O 0.085 0.807 0.151
16 O 0.091 0.499 0.647
17 O 0.145 0.952 0.647
18 O 0.149 0.280 0.154
19 O 0.163 0.055 0.330
20 O 0.174 0.201 0.816
21 O 0.240 0.965 0.003
22 O 0.241 0.297 0.510

=====

Entry from the Alexandria database: Li2MnP2O8 after structural relaxation (GGA+U).

Results
VASP energy   -6.804 eV/atom
Crystal system   monoclinic
Total moment   3.0 μB per formula unit

a b c (Å): 8.825 4.777 15.508
angles (deg): 90.00 98.70 90.00
Space group Cc (No. 9)
Inequivalent atoms, fractional coordinates:
1 Li 0.000 0.181 0.000
2 Li 0.175 0.218 0.382
3 Mn 0.129 0.286 0.192
4 P 0.277 0.195 0.591
5 P 0.483 0.269 0.294
6 O 0.024 0.040 0.721
7 O 0.028 0.104 0.884
8 O 0.073 0.484 0.292
9 O 0.178 0.078 0.090
10 O 0.237 0.398 0.660
11 O 0.262 0.310 0.498
12 O 0.309 0.185 0.277
13 O 0.449 0.098 0.615

=====

Among the records above, which one has the lowest VASP energy?
LiMn4P3O12

=====

What is the formula in the third record?
LiMnPO2

=====

Which of these has the lowest total moment?
LiMnPO2

=====

Please write out number 7 again, unchanged.
Entry from the Alexandria database: Li2Mn3P3O12 after structural relaxation (GGA+U).

Results
VASP energy   -7.055 eV/atom
Crystal system   monoclinic
Total moment   9.9 μB per formula unit

a b c (Å): 14.807 8.884 8.444
angles (deg): 90.00 121.43 90.00
Space group C2 (No. 5)
Inequivalent atoms, fractional coordinates:
1 Li 0.000 0.000 0.000
2 Li 0.000 0.300 0.500
3 Li 0.180 0.667 0.901
4 Mn 0.094 0.377 0.899
5 Mn 0.102 0.888 0.395
6 Mn 0.249 0.384 0.745
7 P 0.000 0.602 0.500
8 P 0.000 0.696 0.000
9 P 0.148 0.029 0.811
10 P 0.149 0.233 0.327
11 O 0.044 0.701 0.406
12 O 0.045 0.000 0.808
13 O 0.046 0.278 0.319
14 O 0.064 0.601 0.942
15 O 0.085 0.807 0.151
16 O 0.091 0.499 0.647
17 O 0.145 0.952 0.647
18 O 0.149 0.280 0.154
19 O 0.163 0.055 0.330
20 O 0.174 0.201 0.816
21 O 0.240 0.965 0.003
22 O 0.241 0.297 0.510